Material: TbAl2Ni
Method: DFT, PBE-GGA
State: relaxed

Output
uncorrected energy = -39.98 eV/cell

a = 9.0969 Å, b = 9.0969 Å, c = 4.0228 Å
α = 90.00°, β = 90.00°, γ = 153.39°
Closest atoms and distances in Å follow each position.
Element x y z (fractional)
Al 0.7916 0.2084 0.0000  1 Ni 2.37, 2 Al 2.56
Al 0.5000 0.5000 0.0000  4 Ni 2.48
Al 0.2084 0.7916 0.0000  1 Ni 2.37, 2 Al 2.56
Al 0.0000 0.0000 0.5000  4 Ni 2.41
Ni 0.9254 0.0746 0.0000  5 Al 2.37-2.48, 1 Ni 2.64
Ni 0.0746 0.9254 0.0000  5 Al 2.37-2.48, 1 Ni 2.64
Tb 0.6414 0.3586 0.5000  4 Ni 3.13, 10 Al 3.14-3.33
Tb 0.3586 0.6414 0.5000  4 Ni 3.13, 10 Al 3.14-3.33